Entry 1:
VASP calculation (GGA-PBEsol) on a relaxed MgTePS2 crystal.

abc: 4.938 4.938 5.071
angles: 90.00 90.00 90.00
Space group P4/mmm (No. 123)
One atom of each set of equivalent atoms:
Mg: 0.000 0.000 0.000 [1 per cell]
Te: 0.500 0.500 0.500 [1 per cell]
P: 0.500 0.500 0.000 [1 per cell]
S: 0.000 0.500 0.500 [2 per cell]

Formation energy (no corrections) in meV/atom: 488
Theoretical density in g/cm³: 3.32
DOS(E_F) in states/eV per atom: 0.720
Energy in eV per atom: -3.473

***

Entry 2:
VASP calculation (GGA-PBEsol) on a relaxed Be2PPb crystal.

abc: 6.423 6.423 6.423
angles: 90.00 90.00 90.00
Space group F-43m (No. 216)
One atom of each set of equivalent atoms:
Be: 0.000 0.000 0.000 [4 per cell]
Be: 0.250 0.250 0.250 [4 per cell]
P: 0.250 0.250 0.750 [4 per cell]
Pb: 0.000 0.000 0.500 [4 per cell]

Theoretical density in g/cm³: 6.42
DOS(E_F) in states/eV per atom: 0.640
Energy in eV per atom: -3.493
Relative energy among the computed polymorphs in eV/f.u.: 1.91
Energy of formation in meV per atom: 954.7

***

Entry 3:
VASP calculation (GGA-PBEsol) on a relaxed Ni2OsAu crystal.

abc: 3.876 3.876 3.422
angles: 90.00 90.00 90.00
Space group P4/mmm (No. 123)
One atom of each set of equivalent atoms:
Ni: 0.000 0.500 0.000 [2 per cell]
Os: 0.000 0.000 0.500 [1 per cell]
Au: 0.500 0.500 0.500 [1 per cell]

Theoretical density in g/cm³: 16.30
DOS(E_F) in states/eV per atom: 1.817
Energy in eV per atom: -6.700
Relative energy among the computed polymorphs in eV/f.u.: 1.21
Energy of formation in meV per atom: 413.6

***

Entry 4:
VASP calculation (GGA-PBEsol) on a relaxed TbSbO4 crystal.

abc: 7.565 5.345 7.499
angles: 90.00 98.50 90.00
Space group P2_1/c (No. 14)
One atom of each set of equivalent atoms:
Tb: 0.143 0.226 0.392 [4 per cell]
Sb: 0.337 0.729 0.192 [4 per cell]
O: 0.114 0.517 0.172 [4 per cell]
O: 0.171 0.004 0.120 [4 per cell]
O: 0.330 0.618 0.937 [4 per cell]
O: 0.431 0.096 0.810 [4 per cell]

Formation energy (no corrections) in meV/atom: -2448
Theoretical density in g/cm³: 7.63
DOS(E_F) in states/eV per atom: 0.000
Energy in eV per atom: -7.542

***

Entry 5:
VASP calculation (GGA-PBEsol) on a relaxed ScInSi3 crystal.

abc: 4.984 4.984 4.984
angles: 90.00 90.00 90.00
Space group Pm-3m (No. 221)
One atom of each set of equivalent atoms:
Sc: 0.000 0.000 0.000 [1 per cell]
In: 0.500 0.500 0.500 [1 per cell]
Si: 0.000 0.000 0.500 [3 per cell]

Formation energy (no corrections) in meV/atom: 741
Theoretical density in g/cm³: 3.27
DOS(E_F) in states/eV per atom: 0.722
Energy in eV per atom: -4.624

***

Entry 6:
VASP calculation (GGA-PBEsol) on a relaxed NaHg3As crystal.

abc: 5.289 5.289 5.289
angles: 90.00 90.00 90.00
Space group Pm-3m (No. 221)
One atom of each set of equivalent atoms:
Na: 0.000 0.000 0.000 [1 per cell]
Hg: 0.000 0.500 0.500 [3 per cell]
As: 0.500 0.500 0.500 [1 per cell]

Theoretical density in g/cm³: 7.85
DOS(E_F) in states/eV per atom: 0.430
Energy in eV per atom: -1.507
Energy of formation in meV per atom: 134.6

***

Entry 7:
VASP calculation (GGA-PBEsol) on a relaxed CaZnOs crystal.

abc: 2.862 2.862 12.675
angles: 90.00 90.00 90.00
Space group I4mm (No. 107)
One atom of each set of equivalent atoms:
Ca: 0.000 0.000 0.000 [2 per cell]
Zn: 0.000 0.000 0.310 [2 per cell]
Os: 0.000 0.000 0.675 [2 per cell]

Theoretical density in g/cm³: 9.46
DOS(E_F) in states/eV per atom: 0.990
Energy in eV per atom: -4.899
Energy of formation in meV per atom: 411.7

***

Entry 8:
VASP calculation (GGA-PBEsol) on a relaxed KZrRe crystal.

abc: 2.8499 2.8499 8.9199
angles: 90.00 90.00 120.00
Space group P3m1 (No. 156)
One atom of each set of equivalent atoms:
K: 0.0000 0.0000 0.0000 [1 per cell]
Zr: 0.6667 0.3333 0.3926 [1 per cell]
Re: 0.3333 0.6667 0.6739 [1 per cell]

Theoretical density in g/cm³: 8.38
DOS(E_F) in states/eV per atom: 0.710
Energy in eV per atom: -6.887
Energy of formation in meV per atom: 964.4

***

Entry 9:
VASP calculation (GGA-PBEsol) on a relaxed LiB3H18N5 crystal.

abc: 7.343 11.509 10.421
angles: 90.00 95.00 90.00
Space group P2_1/c (No. 14)
One atom of each set of equivalent atoms:
Li: 0.017 0.244 0.309 [4 per cell]
B: 0.365 0.511 0.424 [4 per cell]
B: 0.404 0.009 0.089 [4 per cell]
B: 0.497 0.105 0.984 [4 per cell]
H: 0.022 0.208 0.060 [4 per cell]
H: 0.069 0.024 0.273 [4 per cell]
H: 0.076 0.541 0.115 [4 per cell]
H: 0.109 0.613 0.521 [4 per cell]
H: 0.116 0.106 0.979 [4 per cell]
H: 0.148 0.046 0.425 [4 per cell]
H: 0.213 0.654 0.870 [4 per cell]
H: 0.229 0.520 0.350 [4 per cell]
H: 0.253 0.149 0.646 [4 per cell]
H: 0.306 0.720 0.342 [4 per cell]
H: 0.307 0.020 0.177 [4 per cell]
H: 0.310 0.672 0.736 [4 per cell]
H: 0.314 0.215 0.177 [4 per cell]
H: 0.332 0.184 0.792 [4 per cell]
H: 0.363 0.548 0.198 [4 per cell]
H: 0.365 0.645 0.082 [4 per cell]
H: 0.490 0.210 0.969 [4 per cell]
H: 0.499 0.532 0.084 [4 per cell]
N: 0.007 0.162 0.975 [4 per cell]
N: 0.047 0.069 0.355 [4 per cell]
N: 0.229 0.714 0.798 [4 per cell]
N: 0.249 0.214 0.714 [4 per cell]
N: 0.368 0.557 0.100 [4 per cell]

Theoretical density in g/cm³: 0.97
DOS(E_F) in states/eV per atom: 0.000
Energy in eV per atom: -4.989

***

Entry 10:
VASP calculation (GGA-PBEsol) on a relaxed ScMoCl2 crystal.

abc: 5.932 8.189 3.463
angles: 90.00 124.04 90.00
Space group C2/m (No. 12)
One atom of each set of equivalent atoms:
Sc: 0.000 0.000 0.000 [2 per cell]
Mo: 0.000 0.500 0.000 [2 per cell]
Cl: 0.250 0.250 0.000 [4 per cell]

Formation energy (no corrections) in meV/atom: -281
Theoretical density in g/cm³: 5.05
DOS(E_F) in states/eV per atom: 0.816
Energy in eV per atom: -5.878
Relative energy among the computed polymorphs in eV/f.u.: 1.47

***

Entry 11:
VASP calculation (GGA-PBEsol) on a relaxed YOsCl crystal.

abc: 6.615 6.615 6.615
angles: 90.00 90.00 90.00
Space group F-43m (No. 216)
One atom of each set of equivalent atoms:
Y: 0.000 0.000 0.000 [4 per cell]
Os: 0.250 0.250 0.250 [4 per cell]
Cl: 0.250 0.250 0.750 [4 per cell]

Formation energy (no corrections) in meV/atom: 630
Theoretical density in g/cm³: 7.22
DOS(E_F) in states/eV per atom: 1.300
Energy in eV per atom: -6.385

***

Entry 12:
VASP calculation (GGA-PBEsol) on a relaxed Ca2PIr crystal.

abc: 4.426 4.426 7.769
angles: 90.00 90.00 90.00
Space group I4/mmm (No. 139)
One atom of each set of equivalent atoms:
Ca: 0.000 0.500 0.250 [4 per cell]
P: 0.000 0.000 0.000 [2 per cell]
Ir: 0.000 0.000 0.500 [2 per cell]

Theoretical density in g/cm³: 6.62
DOS(E_F) in states/eV per atom: 0.324
Energy in eV per atom: -5.376
Energy of formation in meV per atom: -405.7

***

Entry 13:
VASP calculation (GGA-PBEsol) on a relaxed ZnAuCl2 crystal.

abc: 6.215 7.275 4.755
angles: 90.00 130.02 90.00
Space group C2/m (No. 12)
One atom of each set of equivalent atoms:
Zn: 0.000 0.000 0.000 [2 per cell]
Au: 0.000 0.500 0.000 [2 per cell]
Cl: 0.250 0.250 0.500 [4 per cell]

Formation energy (no corrections) in meV/atom: -51
Theoretical density in g/cm³: 6.72
DOS(E_F) in states/eV per atom: 0.313
Energy in eV per atom: -2.432
Relative energy among the computed polymorphs in eV/f.u.: 0.00

***

Entry 14:
VASP calculation (GGA-PBEsol) on a relaxed Be2Cu2Au crystal.

abc: 6.315 6.315 2.763
angles: 90.00 90.00 90.00
Space group P4/mbm (No. 127)
One atom of each set of equivalent atoms:
Be: 0.131 0.369 0.000 [4 per cell]
Cu: 0.154 0.654 0.500 [4 per cell]
Au: 0.000 0.000 0.000 [2 per cell]

Theoretical density in g/cm³: 10.31
DOS(E_F) in states/eV per atom: 0.274
Energy in eV per atom: -4.220
Energy of formation in meV per atom: -101.5

***

Entry 15:
VASP calculation (GGA-PBEsol) on a relaxed RbInW2O8 crystal.

abc: 5.8840 5.8840 7.5719
angles: 90.00 90.00 120.00
Space group P-3m1 (No. 164)
One atom of each set of equivalent atoms:
Rb: 0.0000 0.0000 0.0000 [1 per cell]
In: 0.0000 0.0000 0.5000 [1 per cell]
W: 0.3333 0.6667 0.7444 [2 per cell]
O: 0.1655 0.3311 0.6713 [6 per cell]
O: 0.3333 0.6667 0.9758 [2 per cell]

Formation energy (no corrections) in meV/atom: -2008
Theoretical density in g/cm³: 5.09
DOS(E_F) in states/eV per atom: 0.000
Energy in eV per atom: -8.143

***

Entry 16:
VASP calculation (GGA-PBEsol) on a relaxed KYP2O crystal.

abc: 5.464 5.464 4.299
angles: 90.00 90.00 90.00
Space group P4/mmm (No. 123)
One atom of each set of equivalent atoms:
K: 0.000 0.000 0.000 [1 per cell]
Y: 0.500 0.500 0.500 [1 per cell]
P: 0.000 0.500 0.500 [2 per cell]
O: 0.500 0.500 0.000 [1 per cell]

Formation energy (no corrections) in meV/atom: -447
Theoretical density in g/cm³: 2.67
DOS(E_F) in states/eV per atom: 0.883
Energy in eV per atom: -5.405
Relative energy among the computed polymorphs in eV/f.u.: 0.00

***

Entry 17:
VASP calculation (GGA-PBEsol) on a relaxed MnSbAs3 crystal.

abc: 4.587 4.587 4.587
angles: 90.00 90.00 90.00
Space group Pm-3m (No. 221)
One atom of each set of equivalent atoms:
Mn: 0.000 0.000 0.000 [1 per cell]
Sb: 0.500 0.500 0.500 [1 per cell]
As: 0.000 0.000 0.500 [3 per cell]

Formation energy (no corrections) in meV/atom: 335
Theoretical density in g/cm³: 6.91
DOS(E_F) in states/eV per atom: 0.651
Energy in eV per atom: -5.592

***

Entry 18:
VASP calculation (GGA-PBEsol) on a relaxed Zr4C3N crystal.

abc: 3.2873 3.2873 32.1596
angles: 90.00 90.00 120.00
Space group R-3m (No. 166, hexagonal axes)
One atom of each set of equivalent atoms:
Zr: 0.0000 0.0000 0.1243 [6 per cell]
Zr: 0.0000 0.0000 0.3747 [6 per cell]
C: 0.0000 0.0000 0.0000 [3 per cell]
C: 0.0000 0.0000 0.2483 [6 per cell]
N: 0.0000 0.0000 0.5000 [3 per cell]

Formation energy (no corrections) in meV/atom: -1210
Theoretical density in g/cm³: 6.87
DOS(E_F) in states/eV per atom: 0.137
Energy in eV per atom: -10.438

***

Entry 19:
VASP calculation (GGA-PBEsol) on a relaxed GaSnB2Os crystal.

abc: 4.095 4.095 4.980
angles: 90.00 90.00 90.00
Space group P4/mmm (No. 123)
One atom of each set of equivalent atoms:
Ga: 0.000 0.000 0.000 [1 per cell]
Sn: 0.500 0.500 0.000 [1 per cell]
B: 0.000 0.500 0.500 [2 per cell]
Os: 0.000 0.000 0.500 [1 per cell]

Theoretical density in g/cm³: 7.96
DOS(E_F) in states/eV per atom: 0.328
Energy in eV per atom: -6.081
Energy of formation in meV per atom: 688.4

***

Entry 20:
VASP calculation (GGA-PBEsol) on a relaxed Ta2ReMo crystal.

abc: 6.361 6.361 6.361
angles: 90.00 90.00 90.00
Space group Fm-3m (No. 225)
One atom of each set of equivalent atoms:
Ta: 0.250 0.250 0.250 [8 per cell]
Re: 0.000 0.000 0.000 [4 per cell]
Mo: 0.000 0.000 0.500 [4 per cell]

Theoretical density in g/cm³: 16.62
DOS(E_F) in states/eV per atom: 0.483
Energy in eV per atom: -12.887
Relative energy among the computed polymorphs in eV/f.u.: 0.00
Energy of formation in meV per atom: -336.0